Entry from Alexandria via LeMat-Bulk: a geometry-optimized Pm2TaCo3Ge4 structure (PBE-GGA).

Cell: 4.068 4.068 10.525 Å, 90.00 90.00 90.00°
Element x y z (fractional)
Ge (0.500, 0.500, 0.000)
Ge (0.000, 0.000, 0.000)
Ge (0.000, 0.500, 0.344)
Ge (0.500, 0.000, 0.656)
Ta (0.500, 0.500, 0.500)
Pm (0.000, 0.500, 0.768)
Pm (0.500, 0.000, 0.232)
Co (0.000, 0.500, 0.118)
Co (0.000, 0.000, 0.500)
Co (0.500, 0.000, 0.882)

Space group: No. 115
Magnetic moment: 0.6 μB/cell
DFT total energy: -6.612 eV/atom